1.
## ThCd5 (GGA-PBE)

Data for ThCd5 after structural relaxation.

## Properties
Volume: 23.7 A^3/atom
E_form: -0.0943 eV/atom

abc: 9.8598 9.8598 10.1128
angles: 90.00 90.00 120.00
Last column: nearest neighbours and their distance in Å.
Space group P6_3/mmc (No. 194)
Asymmetric unit:
Th: 0.1864 0.3727 0.2500  10 Cd 3.27-3.50
Cd: 0.0000 0.0000 0.0000  6 Cd 2.88
Cd: 0.0000 0.5000 0.0000  8 Cd 2.78-3.06
Cd: 0.1340 0.5670 0.7500  8 Cd 2.78-3.03
Cd: 0.1591 0.3183 0.5930  6 Cd 2.88-3.18
Cd: 0.3333 0.6667 0.0435  3 Cd 2.88


2.
## HoZrTl (GGA-PBE)

Data for HoZrTl after structural relaxation.

## Properties
Volume: 29.1 A^3/atom
Energy above the most stable polymorph in this dataset: 0.0000 eV per atom

abc: 7.0381 7.0381 7.0381
angles: 90.00 90.00 90.00
Last column: nearest neighbours and their distance in Å.
Space group F-43m (No. 216)
Asymmetric unit:
Ho: 0.0000 0.0000 0.0000  4 Tl 3.05
Zr: 0.0000 0.0000 0.5000  4 Tl 3.05
Tl: 0.2500 0.2500 0.2500  4 Zr 3.05, 4 Ho 3.05


3.
## HfCCl6 (GGA-PBE)

Data for HfCCl6 after structural relaxation.

## Properties
Volume: 32.7 A^3/atom

abc: 6.3155 12.2527 13.5664
angles: 90.00 95.10 90.00
Last column: nearest neighbours and their distance in Å.
Space group C2/c (No. 15)
Asymmetric unit:
Hf: 0.0000 0.1673 0.2500  6 Cl 2.35-2.59
C: 0.0000 0.4432 0.7500  2 Cl 1.92
Cl: 0.1096 0.2948 0.3736  1 Hf 2.35
Cl: 0.1561 0.3451 0.8404  1 C 1.92
Cl: 0.2054 0.0217 0.3418  1 C 2.37, 1 Hf 2.48


no.,final energy (hartree per atom)
1,-0.0763
2,-0.1809
3,-0.1653